The following is a DFT calculation (PBE with a Hubbard U) of a relaxed structure of LiCo2IO6.

Cell lengths 5.562, 5.562, 5.562 Å; angles 55.51, 55.51, 55.51 degrees
Element x y z (fractional)
Li (0.000, 0.000, 0.000)
Co (0.204, 0.204, 0.204)
Co (0.727, 0.727, 0.727)
I (0.521, 0.521, 0.521)
O (0.110, 0.424, 0.834)
O (0.333, 0.923, 0.571)
O (0.424, 0.834, 0.110)
O (0.571, 0.333, 0.923)
O (0.834, 0.110, 0.424)
O (0.923, 0.571, 0.333)

## Properties
total magnetic moment: 0.200 μB/atom
N(E_F): 1.79 states/eV/f.u.
calculated total energy: -51.9 eV/f.u.
crystal system: trigonal